(1)
# Y4Sc3 PBE optimized geometry
# - V: 201.92 Å³/f.u.
# - ΔE_f: 0.0583 eV per atom
# - Uncorrected energy: -6.349 eV/atom
data_Y4Sc3
_space_group_name_H-M_alt 'P 1'
_space_group_IT_number 1
_cell_length_a 3.467
_cell_length_b 16.979
_cell_length_c 3.467
_cell_angle_alpha 84.14
_cell_angle_beta 90.00
_cell_angle_gamma 95.86
loop_
_space_group_symop_operation_xyz
'x,y,z'
loop_
_atom_site_label
_atom_site_type_symbol
_atom_site_fract_x
_atom_site_fract_y
_atom_site_fract_z
Y1 Y 0.852 0.704 0.148
Y2 Y 0.148 0.296 0.852
Y3 Y 0.570 0.141 0.430
Y4 Y 0.430 0.859 0.570
Sc1 Sc 0.719 0.437 0.281
Sc2 Sc 0.281 0.563 0.719
Sc3 Sc 0.000 0.000 0.000

(2)
# YSc7 PBE optimized geometry
# - V: 203.11 Å³/f.u.
# - ΔE_f: 0.0604 eV per atom
# - Uncorrected energy: -6.288 eV/atom
data_YSc7
_space_group_name_H-M_alt 'P 1'
_space_group_IT_number 1
_cell_length_a 6.598
_cell_length_b 6.598
_cell_length_c 6.598
_cell_angle_alpha 60.00
_cell_angle_beta 60.00
_cell_angle_gamma 60.00
loop_
_space_group_symop_operation_xyz
'x,y,z'
loop_
_atom_site_label
_atom_site_type_symbol
_atom_site_fract_x
_atom_site_fract_y
_atom_site_fract_z
Sc1 Sc 0.000 0.500 0.000
Sc2 Sc 0.500 0.000 0.500
Sc3 Sc 0.000 0.500 0.500
Sc4 Sc 0.500 0.500 0.000
Sc5 Sc 0.500 0.500 0.500
Sc6 Sc 0.000 0.000 0.500
Sc7 Sc 0.500 0.000 0.000
Y1 Y 0.000 0.000 0.000

(3)
# Y2Sc3 PBE optimized geometry
# - V: 137.48 Å³/f.u.
# - ΔE_f: 0.1228 eV per atom
# - Uncorrected energy: -6.262 eV/atom
data_Y2Sc3
_space_group_name_H-M_alt 'P 1'
_space_group_IT_number 1
_cell_length_a 3.298
_cell_length_b 5.827
_cell_length_c 15.010
_cell_angle_alpha 88.22
_cell_angle_beta 83.69
_cell_angle_gamma 73.56
loop_
_space_group_symop_operation_xyz
'x,y,z'
loop_
_atom_site_label
_atom_site_type_symbol
_atom_site_fract_x
_atom_site_fract_y
_atom_site_fract_z
Y1 Y 0.605 0.040 0.396
Y2 Y 0.041 0.960 0.604
Y3 Y 0.752 0.540 0.104
Y4 Y 0.395 0.460 0.896
Sc1 Sc 0.119 0.431 0.696
Sc2 Sc 0.301 0.069 0.196
Sc3 Sc 0.987 0.000 0.000
Sc4 Sc 0.247 0.569 0.304
Sc5 Sc 0.566 0.931 0.804
Sc6 Sc 0.737 0.500 0.500

(4)
# YSc PBE optimized geometry
# - V: 56.99 Å³/f.u.
# - ΔE_f: 0.0426 eV per atom
# - Uncorrected energy: -6.355 eV/atom
data_YSc
_space_group_name_H-M_alt 'P 1'
_space_group_IT_number 1
_cell_length_a 3.496
_cell_length_b 5.423
_cell_length_c 6.012
_cell_angle_alpha 90.00
_cell_angle_beta 90.00
_cell_angle_gamma 90.00
loop_
_space_group_symop_operation_xyz
'x,y,z'
loop_
_atom_site_label
_atom_site_type_symbol
_atom_site_fract_x
_atom_site_fract_y
_atom_site_fract_z
Sc1 Sc 0.750 0.750 0.582
Sc2 Sc 0.250 0.250 0.418
Y1 Y 0.750 0.250 0.912
Y2 Y 0.250 0.750 0.088

(5)
# Y2Sc PBE optimized geometry
# - V: 88.59 Å³/f.u.
# - ΔE_f: 0.0559 eV per atom
# - Uncorrected energy: -6.364 eV/atom
data_Y2Sc
_space_group_name_H-M_alt 'P 1'
_space_group_IT_number 1
_cell_length_a 6.022
_cell_length_b 6.022
_cell_length_c 6.022
_cell_angle_alpha 146.34
_cell_angle_beta 132.39
_cell_angle_gamma 59.57
loop_
_space_group_symop_operation_xyz
'x,y,z'
loop_
_atom_site_label
_atom_site_type_symbol
_atom_site_fract_x
_atom_site_fract_y
_atom_site_fract_z
Y1 Y 0.663 0.663 0.000
Y2 Y 0.337 0.337 0.000
Sc1 Sc 0.000 0.000 0.000

(6)
# YSc PBE optimized geometry
# - V: 56.91 Å³/f.u.
# - ΔE_f: 0.0263 eV per atom
# - Uncorrected energy: -6.372 eV/atom
data_YSc
_space_group_name_H-M_alt 'P 1'
_space_group_IT_number 1
_cell_length_a 5.985
_cell_length_b 6.491
_cell_length_c 3.498
_cell_angle_alpha 74.37
_cell_angle_beta 90.00
_cell_angle_gamma 118.37
loop_
_space_group_symop_operation_xyz
'x,y,z'
loop_
_atom_site_label
_atom_site_type_symbol
_atom_site_fract_x
_atom_site_fract_y
_atom_site_fract_z
Sc1 Sc 0.004 0.015 0.993
Sc2 Sc 0.080 0.485 0.257
Y1 Y 0.599 0.513 0.744
Y2 Y 0.484 0.987 0.506

(7)
# Y3Sc PBE optimized geometry
# - V: 120.93 Å³/f.u.
# - ΔE_f: 0.0525 eV per atom
# - Uncorrected energy: -6.378 eV/atom
data_Y3Sc
_space_group_name_H-M_alt 'P 1'
_space_group_IT_number 1
_cell_length_a 3.507
_cell_length_b 6.056
_cell_length_c 6.047
_cell_angle_alpha 99.95
_cell_angle_beta 90.00
_cell_angle_gamma 73.17
loop_
_space_group_symop_operation_xyz
'x,y,z'
loop_
_atom_site_label
_atom_site_type_symbol
_atom_site_fract_x
_atom_site_fract_y
_atom_site_fract_z
Y1 Y 0.745 0.509 0.754
Y2 Y 0.500 0.000 0.500
Y3 Y 0.255 0.491 0.246
Sc1 Sc 0.000 0.000 0.000

(8)
# Y2Sc3 PBE optimized geometry
# - V: 137.44 Å³/f.u.
# - ΔE_f: 0.0625 eV per atom
# - Uncorrected energy: -6.322 eV/atom
data_Y2Sc3
_space_group_name_H-M_alt 'P 1'
_space_group_IT_number 1
_cell_length_a 12.062
_cell_length_b 3.410
_cell_length_c 3.410
_cell_angle_alpha 90.00
_cell_angle_beta 98.13
_cell_angle_gamma 81.87
loop_
_space_group_symop_operation_xyz
'x,y,z'
loop_
_atom_site_label
_atom_site_type_symbol
_atom_site_fract_x
_atom_site_fract_y
_atom_site_fract_z
Sc1 Sc 0.016 0.992 0.008
Sc2 Sc 0.200 0.400 0.600
Sc3 Sc 0.384 0.808 0.192
Y1 Y 0.812 0.594 0.406
Y2 Y 0.588 0.206 0.794